[1]
TlInCl3 | meta-GGA SCAN | PBEsol geometry

Raw total energy, eV/atom: -26.97
E_form (uncorrected), eV per atom: -1.03
DOS(E_F), states/eV/atom: 0.168

a = 5.2859 Å, b = 5.2859 Å, c = 5.2859 Å
α = 90.00°, β = 90.00°, γ = 90.00°
Fractional coordinates of all 5 atoms:
In  0.0000  0.0000  0.0000
Cl  0.5000  0.0000  0.0000
Cl  0.0000  0.0000  0.5000
Cl  0.0000  0.5000  0.0000
Tl  0.5000  0.5000  0.5000



[2]
SrLiRhF2 | meta-GGA SCAN | PBEsol geometry

Raw total energy, eV/atom: -14.23
E_form (uncorrected), eV per atom: -1.12
DOS(E_F), states/eV/atom: 0.532

a = 4.2736 Å, b = 4.4730 Å, c = 4.4730 Å
α = 90.00°, β = 90.00°, γ = 90.00°
Fractional coordinates of all 5 atoms:
Li  0.5000  0.0000  0.0000
Rh  0.0000  0.0000  0.0000
F  0.0000  0.0000  0.5000
F  0.0000  0.5000  0.0000
Sr  0.5000  0.5000  0.5000



[3]
MoRu3 | meta-GGA SCAN | PBEsol geometry

Raw total energy, eV/atom: -34.86
ΔE_f, eV per atom: -0.014
DOS(E_F), states/eV/atom: 0.885
Energy above the most stable polymorph in this dataset, eV per atom: 0.040

a = 2.7303 Å, b = 4.2995 Å, c = 4.6886 Å
α = 90.00°, β = 90.00°, γ = 90.00°
Fractional coordinates of all 4 atoms:
Ru  0.5000  0.5000  0.8330
Ru  0.0000  0.5000  0.3385
Ru  0.5000  0.0000  0.4935
Mo  0.0000  0.0000  0.0016